(1)
A geometry-optimized TaNbCoBi structure. Source: OQMD via LeMat-Bulk, functional GGA-PBE.

Crystal system: cubic
Distance to the lowest polymorph of the same formula (meV per atom): 0
Density (g/cm³): 12.6
VASP energy (eV/cell): -31.17
Calculated volume (Å³/cell): 71.5

a = 4.659 Å, b = 4.659 Å, c = 4.659 Å
α = 60.00°, β = 60.00°, γ = 60.00°
Fractional positions:
Ta1 0.000 0.000 0.000
Nb1 0.250 0.250 0.250
Co1 0.750 0.750 0.750
Bi1 0.500 0.500 0.500


(2)
A geometry-optimized NbCoTcBi structure. Source: OQMD via LeMat-Bulk, functional GGA-PBE.

Crystal system: cubic
Distance to the lowest polymorph of the same formula (meV per atom): 0
Density (g/cm³): 11.4
VASP energy (eV/cell): -30.45
Calculated volume (Å³/cell): 67.0

a = 4.559 Å, b = 4.559 Å, c = 4.559 Å
α = 60.00°, β = 60.00°, γ = 60.00°
Fractional positions:
Nb1 0.000 0.000 0.000
Co1 0.750 0.750 0.750
Tc1 0.250 0.250 0.250
Bi1 0.500 0.500 0.500


(3)
A geometry-optimized YNbCoBi structure. Source: OQMD via LeMat-Bulk, functional GGA-PBE.

Crystal system: cubic
Distance to the lowest polymorph of the same formula (meV per atom): 0
Density (g/cm³): 9.3
VASP energy (eV/cell): -26.15
Calculated volume (Å³/cell): 80.7

a = 4.850 Å, b = 4.850 Å, c = 4.850 Å
α = 60.00°, β = 60.00°, γ = 60.00°
Fractional positions:
Y1 0.000 0.000 0.000
Nb1 0.250 0.250 0.250
Co1 0.750 0.750 0.750
Bi1 0.500 0.500 0.500


(4)
A geometry-optimized NbZnCoBi structure. Source: OQMD via LeMat-Bulk, functional GGA-PBE.

Crystal system: cubic
Distance to the lowest polymorph of the same formula (meV per atom): 0
Density (g/cm³): 10.1
VASP energy (eV/cell): -20.62
Calculated volume (Å³/cell): 70.1

a = 4.629 Å, b = 4.629 Å, c = 4.629 Å
α = 60.00°, β = 60.00°, γ = 60.00°
Fractional positions:
Nb1 0.000 0.000 0.000
Zn1 0.250 0.250 0.250
Co1 0.750 0.750 0.750
Bi1 0.500 0.500 0.500


(5)
A geometry-optimized NbZnCoBi structure. Source: OQMD via LeMat-Bulk, functional GGA-PBE.

Crystal system: cubic
Distance to the lowest polymorph of the same formula (meV per atom): 16
Density (g/cm³): 10.1
VASP energy (eV/cell): -20.56
Calculated volume (Å³/cell): 69.8

a = 4.623 Å, b = 4.623 Å, c = 4.623 Å
α = 60.00°, β = 60.00°, γ = 60.00°
Fractional positions:
Nb1 0.000 0.000 0.000
Zn1 0.750 0.750 0.750
Co1 0.500 0.500 0.500
Bi1 0.250 0.250 0.250


(6)
A geometry-optimized ZrNbCoBi structure. Source: OQMD via LeMat-Bulk, functional GGA-PBE.

Crystal system: cubic
Distance to the lowest polymorph of the same formula (meV per atom): 0
Density (g/cm³): 9.9
VASP energy (eV/cell): -28.43
Calculated volume (Å³/cell): 75.6

a = 4.745 Å, b = 4.745 Å, c = 4.745 Å
α = 60.00°, β = 60.00°, γ = 60.00°
Fractional positions:
Zr1 0.000 0.000 0.000
Nb1 0.250 0.250 0.250
Co1 0.750 0.750 0.750
Bi1 0.500 0.500 0.500